Here is an optimized crystal structure of CsAsF4 from Alexandria. Energies are from PBE.

Geometry as POSCAR:
```
CsAsF4
1.0
3.626 -2.855 0.000
3.626 2.855 0.000
-0.753 0.000 6.269
Cs As F
1 1 4
Cartesian
0.000 0.000 0.000 Cs
3.250 -0.046 3.134 As
1.973 1.180 3.495 F
2.744 0.152 1.256 F
4.527 1.180 2.773 F
3.755 0.152 5.013 F
```

As for the space-group type: C2 (5). As for the uncorrected formation energy: -234.1 kJ per mole of atoms. The calculation puts the distance to the lowest polymorph of the same formula at 21.6 meV per atom.

---

Here is an optimized crystal structure of Ho12Tl6Ir from Alexandria. Energies are from PBE.

Geometry as POSCAR:
```
Ho12Tl6Ir
1.0
6.066 3.502 4.467
-6.066 3.502 4.467
0.000 -7.004 4.467
Ho Tl Ir
12 6 1
Cartesian
-4.000 -3.853 7.497 Ho
-5.336 1.537 5.902 Ho
-2.089 -0.334 5.022 Ho
1.337 -5.390 5.902 Ho
1.334 -1.642 5.022 Ho
-0.755 -1.976 8.377 Ho
0.755 1.976 5.022 Ho
-1.334 1.642 8.377 Ho
-1.337 5.390 7.497 Ho
2.089 0.334 8.377 Ho
5.336 -1.537 7.497 Ho
4.000 3.853 5.902 Ho
-1.322 -3.598 5.749 Tl
-3.777 -0.654 7.651 Tl
-2.455 2.944 5.749 Tl
2.455 -2.944 7.651 Tl
3.777 0.654 5.749 Tl
1.322 3.598 7.651 Tl
0.000 0.000 6.700 Ir
```

As for the space-group type: R-3 (148). The energy of formation is -0.20 eV/atom.

---

Here is an optimized crystal structure of AlTe2Os from Alexandria. Energies are from PBE.

Geometry as POSCAR:
```
AlTe2Os
1.0
3.726 0.000 0.000
0.000 3.781 0.000
0.000 0.000 7.146
Al Te Os
1 2 1
Cartesian
0.000 0.000 0.000 Al
0.000 1.891 1.982 Te
1.863 0.000 5.136 Te
1.863 1.891 7.122 Os
```

As for the space-group type: Pmm2 (25). As for the uncorrected formation energy: 5.3 kJ per mole of atoms.

---

Here is an optimized crystal structure of HfHgIr3 from Alexandria. Energies are from PBE.

Geometry as POSCAR:
```
HfHgIr3
1.0
4.845 0.000 0.000
0.000 4.845 0.000
0.000 0.000 4.845
Hf Hg Ir
1 1 3
Cartesian
0.000 0.000 0.000 Hf
2.422 2.422 2.422 Hg
0.000 0.000 2.422 Ir
0.000 2.422 0.000 Ir
2.422 0.000 0.000 Ir
```

As for the space-group type: Pm-3m (221). The energy of formation is 1.40 eV/atom. The calculation puts the distance to the lowest polymorph of the same formula at 0.0 meV per atom.

---

Here is an optimized crystal structure of ScRuBr2 from Alexandria. Energies are from PBE.

Geometry as POSCAR:
```
ScRuBr2
1.0
0.000 3.435 3.435
3.435 0.000 3.435
3.435 3.435 0.000
Sc Ru Br
1 1 2
Cartesian
0.000 0.000 0.000 Sc
5.153 5.153 5.153 Ru
1.718 1.718 1.718 Br
3.435 3.435 3.435 Br
```

As for the space-group type: F-43m (216). As for the uncorrected formation energy: 21.6 kJ per mole of atoms. The calculation puts the distance to the lowest polymorph of the same formula at 791.3 meV per atom.

---

Here is an optimized crystal structure of NaAcTe4 from Alexandria. Energies are from PBE.

Geometry as POSCAR:
```
NaAcTe4
1.0
0.000 4.649 4.649
4.649 0.000 4.649
4.649 4.649 0.000
Na Ac Te
1 1 4
Cartesian
0.000 0.000 0.000 Na
2.325 2.325 2.325 Ac
5.811 3.488 3.488 Te
3.488 5.811 3.488 Te
3.488 3.488 5.811 Te
5.811 5.811 5.811 Te
```

As for the space-group type: F-43m (216). As for the uncorrected formation energy: -25.7 kJ per mole of atoms.

---

Number 1: M_tot 0.0 Bohr magnetons per cell, VASP energy -4.591 eV per atom. Number 2: M_tot 0.0 Bohr magnetons per cell, VASP energy -4.308 eV per atom. Number 3: M_tot 0.0 Bohr magnetons per cell, VASP energy -5.259 eV per atom. Number 4: M_tot 0.0 Bohr magnetons per cell, VASP energy -5.971 eV per atom. Number 5: M_tot 1.1 Bohr magnetons per cell, VASP energy -4.514 eV per atom. Number 6: M_tot 0.0 Bohr magnetons per cell, VASP energy -3.265 eV per atom.